# 1
Density functional theory data (PBE) for crystalline Tb3SiAu at its relaxed geometry.

```
10
Lattice="3.4868 0.0000 0.0000 0.0000 2.7040 16.3129 0.0000 -2.7040 16.3129" Properties=species:S:1:pos:R:3 pbc="T T T"
Tb 1.7434 0.0000 28.2220
Tb 0.0000 0.0000 14.6512
Tb 1.7434 0.0000 4.5143
Tb 1.7434 0.0000 9.5032
Tb 1.7434 0.0000 23.2343
Tb 0.0000 0.0000 18.0870
Au 0.0000 0.0000 25.7362
Au 0.0000 0.0000 7.0001
Si 1.7434 0.0000 12.4723
Si 1.7434 0.0000 20.2671
```

Computed properties:
The calculation puts the total energy at -4.6754 eV/atom. The space group is Cmmm, No. 65.



# 2
Density functional theory data (PBE) for crystalline TbSi2TcAu at its relaxed geometry.

```
5
Lattice="-0.3868 0.3392 5.8873 -4.9215 2.0043 2.5858 1.5906 -3.8957 -4.1495" Properties=species:S:1:pos:R:3 pbc="T T T"
Au 0.0000 0.0000 0.0000
Si -3.6094 -0.0875 2.3211
Si -2.3756 -0.6322 0.3517
Tc -2.6542 1.1717 4.2366
Tb -0.7252 -1.1924 2.9872
```

Computed properties:
The calculation puts the total energy at -6.4219 eV/atom. The space group is I-4m2, No. 119.



# 3
Density functional theory data (PBE) for crystalline TbTm2Si4Au4 at its relaxed geometry.

```
11
Lattice="-2.1254 3.4715 7.0799 2.1254 -3.4715 7.0799 2.1254 3.4715 -7.0799" Properties=species:S:1:pos:R:3 pbc="T T T"
Au 0.0000 4.8792 2.3464
Au 2.1254 1.4077 4.7335
Au 0.0000 2.0638 2.3464
Au 2.1254 -1.4077 4.7335
Tm 0.0000 3.4715 5.3226
Tm 2.1254 0.0000 1.7573
Si 0.0000 1.2190 0.0000
Si 0.0000 0.0000 10.1532
Si 0.0000 0.0000 4.0066
Si 0.0000 5.7240 0.0000
Tb 0.0000 0.0000 7.0799
```

Computed properties:
The calculation puts the total energy at -5.0909 eV/atom. The space group is Immm, No. 71.



# 4
Density functional theory data (PBE) for crystalline TbYSi3Au at its relaxed geometry.

```
12
Lattice="-5.7693 -4.9039 3.1801 -2.1891 -2.9728 7.3269 -4.3432 3.1235 2.2632" Properties=species:S:1:pos:R:3 pbc="T T T"
Si -6.6349 -2.0314 8.6401
Si -6.7420 -4.1754 7.7332
Si -6.0429 -0.2300 7.2901
Si -5.5597 -0.5778 5.0370
Si -6.2588 -4.5232 5.4801
Si -5.6668 -2.7218 4.1301
Au -7.3557 -6.0428 9.1326
Au -4.9460 1.2896 3.6376
Y -9.2263 -3.5649 9.5777
Y -3.0754 -1.1883 3.1926
Tb -4.2267 -2.6662 6.8425
Tb -8.0750 -2.0870 5.9277
```

Computed properties:
The space group is Fmmm, No. 69. The energy relative to the lowest polymorph listed for this composition comes out at 0.000 eV per atom.



# 5
Density functional theory data (PBE) for crystalline TbY2Zn2Si4Au2 at its relaxed geometry.

```
11
Lattice="-2.0633 2.0839 12.3037 2.0633 -2.0839 12.3037 2.0633 2.0839 -12.3037" Properties=species:S:1:pos:R:3 pbc="T T T"
Au 0.0000 0.0000 6.1743
Au 0.0000 0.0000 18.4330
Si 0.0000 0.0000 13.4705
Si 0.0000 2.0839 7.6688
Si 0.0000 0.0000 11.1368
Si 2.0633 0.0000 4.6348
Zn 0.0000 2.0839 10.0036
Zn 2.0633 0.0000 2.3000
Y 0.0000 2.0839 3.5390
Y 2.0633 0.0000 8.7646
Tb 0.0000 0.0000 0.0000
```

Computed properties:
The space group is Immm, No. 71. The energy relative to the lowest polymorph listed for this composition comes out at 0.051 eV per atom.



# 6
Density functional theory data (PBE) for crystalline TbY2Zn2Si4Au2 at its relaxed geometry.

```
11
Lattice="-2.0212 2.0998 12.5330 2.0212 -2.0998 12.5330 2.0212 2.0998 -12.5330" Properties=species:S:1:pos:R:3 pbc="T T T"
Y 2.0212 0.0000 8.8683
Y 0.0000 2.0998 3.6647
Au 0.0000 2.0998 10.1479
Au 2.0212 0.0000 2.3851
Si 2.0212 0.0000 4.8007
Si 0.0000 0.0000 11.3649
Si 0.0000 0.0000 13.7011
Si 0.0000 2.0998 7.7323
Zn 0.0000 0.0000 18.7735
Zn 0.0000 0.0000 6.2924
Tb 0.0000 0.0000 0.0000
```

Computed properties:
The space group is Immm, No. 71. The energy relative to the lowest polymorph listed for this composition comes out at 0.000 eV per atom.